[1]
The following is a DFT calculation (PBE) of an optimized crystal structure of Li4SnHg2.

The structure in POSCAR format:
```
Li4SnHg2
1.0
4.483 0.000 1.401
2.023 4.001 1.401
-0.004 -0.002 7.887
Li Hg Sn
4 2 1
Cartesian
2.506 1.541 7.730 Li
3.996 2.458 2.958 Li
0.841 0.517 5.184 Li
5.661 3.481 5.504 Li
4.863 2.991 8.058 Hg
1.639 1.008 2.630 Hg
0.000 0.000 0.000 Sn
```

Computed properties:
- Space group: No. 166
- Formation energy: -0.329 eV per atom

[2]
The following is a DFT calculation (PBE) of an optimized crystal structure of Ti7Ga2.

The structure in POSCAR format:
```
Ti7Ga2
1.0
4.511 0.000 0.000
-2.256 3.907 0.000
0.000 0.000 8.455
Ti Ga
7 2
Cartesian
0.000 2.604 1.505 Ti
0.000 0.000 5.631 Ti
0.000 0.000 2.824 Ti
2.256 1.302 6.950 Ti
0.000 2.604 4.445 Ti
0.000 0.000 0.000 Ti
2.256 1.302 4.011 Ti
0.000 2.604 7.192 Ga
2.256 1.302 1.263 Ga
```

Computed properties:
- Space group: No. 164
- Formation energy: -0.234 eV per atom

[3]
The following is a DFT calculation (PBE) of an optimized crystal structure of Cs2NaMgF6.

The structure in POSCAR format:
```
Cs2NaMgF6
1.0
-4.943 -3.823 0.538
-2.779 -2.276 -5.141
0.565 -6.078 -1.440
Mg F Na Cs
1 6 1 2
Cartesian
-3.578 -6.088 -3.022 Mg
-4.202 -5.052 -1.393 F
-1.682 -6.083 -2.298 F
-2.954 -7.125 -4.651 F
-3.212 -4.344 -3.992 F
-5.474 -6.093 -3.745 F
-3.944 -7.833 -2.052 F
0.000 0.000 0.000 Na
-1.789 -3.044 -1.511 Cs
-5.367 -9.132 -4.533 Cs
```

Computed properties:
- Raw formation energy: -2.73 eV/atom
- Space group: No. 225

[4]
The following is a DFT calculation (PBE) of an optimized crystal structure of Ta2NbP.

The structure in POSCAR format:
```
Ta2NbP
1.0
-0.113 -4.624 -6.212
-4.397 -5.076 3.858
-4.307 -3.697 -1.998
Nb Ta P
2 4 2
Cartesian
-3.337 -6.585 -4.694 Nb
0.000 0.000 0.000 Nb
-1.688 -4.072 -3.394 Ta
-6.818 -10.847 -3.873 Ta
-5.279 -6.823 -2.067 Ta
-3.848 -5.051 0.629 Ta
-2.255 -4.850 -1.177 P
-5.479 -6.811 0.341 P
```

Computed properties:
- Space group: No. 122
- Formation energy: 0.058 eV per atom

[5]
The following is a DFT calculation (PBE) of an optimized crystal structure of Na9Cd4In.

The structure in POSCAR format:
```
Na9Cd4In
1.0
9.747 0.000 0.000
0.000 8.658 -4.999
0.000 0.000 9.997
Cd Na In
8 18 2
Cartesian
2.437 6.753 4.999 Cd
7.310 7.705 -3.349 Cd
7.310 7.705 3.349 Cd
2.437 0.952 1.650 Cd
2.437 0.952 8.347 Cd
4.874 0.000 0.000 Cd
7.310 1.905 0.000 Cd
0.000 0.000 0.000 Cd
0.509 7.002 2.131 Na
2.437 4.015 6.955 Na
0.509 3.312 0.000 Na
9.238 1.656 2.868 Na
2.437 0.627 4.999 Na
9.238 5.346 4.999 Na
7.310 8.030 0.000 Na
0.509 7.002 -2.131 Na
2.437 4.015 3.043 Na
7.310 4.643 1.956 Na
4.365 7.002 -2.131 Na
7.310 4.643 -1.956 Na
4.365 7.002 2.131 Na
4.365 3.312 0.000 Na
5.382 1.656 2.868 Na
5.382 1.656 7.129 Na
9.238 1.656 7.129 Na
5.382 5.346 4.999 Na
2.437 5.772 0.000 In
7.310 2.886 4.999 In
```

Computed properties:
- Space group: No. 194
- Formation energy: -0.067 eV per atom

[6]
The following is a DFT calculation (PBE) of an optimized crystal structure of In2SiAs.

The structure in POSCAR format:
```
In2SiAs
1.0
-1.805 3.167 -1.123
-1.898 -1.677 -1.679
-4.960 -0.609 6.255
In Si As
2 1 1
Cartesian
-2.783 0.990 0.787 In
-6.348 -1.853 4.978 In
-3.955 -1.570 1.930 Si
-5.864 -0.115 2.624 As
```

Computed properties:
- Raw formation energy: 0.18 eV/atom
- Space group: No. 6

[7]
The following is a DFT calculation (PBE) of an optimized crystal structure of SiTcC3.

The structure in POSCAR format:
```
SiTcC3
1.0
-1.849 3.022 -1.119
-2.113 -2.111 -2.210
-2.434 -0.464 2.769
Si Tc C
1 1 3
Cartesian
0.000 0.000 0.000 Si
-3.198 0.223 -0.280 Tc
-0.925 1.511 -0.560 C
-1.056 -1.056 -1.105 C
-1.217 -0.232 1.385 C
```

Computed properties:
- Raw formation energy: 2.07 eV/atom
- Space group: No. 221

[8]
The following is a DFT calculation (PBE) of an optimized crystal structure of Te2IrF.

The structure in POSCAR format:
```
Te2IrF
1.0
-3.793 0.111 -2.774
2.102 -0.151 -2.879
1.228 -11.038 1.475
Te Ir F
4 2 2
Cartesian
-0.651 -3.485 -0.292 Te
-0.458 -6.962 -2.180 Te
1.014 -9.080 -0.994 Te
-2.122 -1.368 -1.477 Te
-2.090 -8.619 -1.074 Ir
-1.653 -3.176 -3.251 Ir
-2.299 -10.770 -1.114 F
-1.862 -5.327 -3.291 F
```

Computed properties:
- Raw formation energy: -0.39 eV/atom
- Space group: No. 8

[9]
The following is a DFT calculation (PBE) of an optimized crystal structure of LaGa2TeW.

The structure in POSCAR format:
```
LaGa2TeW
1.0
5.021 0.000 0.000
0.000 5.480 0.000
0.000 0.000 5.021
La Ga Te W
1 2 1 1
Cartesian
0.000 2.740 0.000 La
0.000 0.000 2.511 Ga
2.511 0.000 0.000 Ga
2.511 2.740 2.511 Te
0.000 0.000 0.000 W
```

Computed properties:
- Raw formation energy: 0.15 eV/atom
- Space group: No. 123

[10]
The following is a DFT calculation (PBE) of an optimized crystal structure of Nd3CdC.

The structure in POSCAR format:
```
Nd3CdC
1.0
-4.494 1.520 -1.958
-1.666 -4.854 0.058
-1.835 0.686 4.744
Cd C Nd
1 1 3
Cartesian
-3.998 -1.324 1.421 Cd
0.000 0.000 0.000 C
-2.247 0.760 -0.979 Nd
-0.833 -2.427 0.029 Nd
-0.918 0.343 2.372 Nd
```

Computed properties:
- Space group: No. 221
- Formation energy: -0.149 eV per atom

[11]
The following is a DFT calculation (PBE) of an optimized crystal structure of SrHo3Ru.

The structure in POSCAR format:
```
SrHo3Ru
1.0
-0.837 5.324 0.884
-4.727 -0.292 -2.721
-2.605 -1.182 4.653
Ho Ru Sr
3 1 1
Cartesian
-1.303 -0.591 2.326 Ho
-0.419 2.662 0.442 Ho
-2.364 -0.146 -1.360 Ho
0.000 0.000 0.000 Ru
-4.085 1.925 1.408 Sr
```

Computed properties:
- Space group: No. 221
- Formation energy: -0.152 eV per atom

[12]
The following is a DFT calculation (PBE) of an optimized crystal structure of Hf3ZrAl.

The structure in POSCAR format:
```
Hf3ZrAl
1.0
5.086 0.000 0.000
0.000 5.086 0.000
0.000 0.000 5.086
Al Zr Hf
1 1 3
Cartesian
2.543 2.543 2.543 Al
0.000 0.000 0.000 Zr
0.000 2.543 0.000 Hf
0.000 0.000 2.543 Hf
2.543 0.000 0.000 Hf
```

Computed properties:
- Space group: No. 221
- Formation energy: 1.271 eV per atom

| no. | energy (eV/cell) |
| --- | --- |
| 1 | -14.57 |
| 2 | -63.43 |
| 3 | -43.10 |
| 4 | -77.90 |
| 5 | -38.41 |
| 6 | -14.83 |
| 7 | -33.13 |
| 8 | -37.17 |
| 9 | -26.33 |
| 10 | -25.19 |
| 11 | -25.45 |
| 12 | -35.80 |